No. 1
8
Lattice="-3.318 -3.651 -0.371 3.201 -3.124 2.114 -2.410 1.583 5.988" Properties=species:S:1:pos:R:3 comment="ZnGeSeO PBE relaxed" sg="P4/nmm (129)" de_polymorph_ev_per_fu=1.132 pbc="T T T"
Se -2.893 -2.728 3.244
Se 0.366 -2.464 4.487
Zn -1.617 -4.077 5.108
Zn -0.910 -1.115 2.624
Ge -2.002 -0.398 5.336
Ge -0.525 -4.794 2.395
O -0.211 -1.574 0.888
O -2.316 -3.618 6.844


No. 2
9
Lattice="-2.764 -4.746 -1.092 3.876 1.870 -3.582 5.208 -3.866 3.617" Properties=species:S:1:pos:R:3 comment="LiGe5Au3 PBE relaxed" sg="P6/mmm (191)" total_energy_ev_per_atom=-3.609 pbc="T T T"
Au 1.222 -4.306 1.263
Au 4.542 -0.998 0.017
Au 3.160 -3.371 -0.529
Ge 2.604 -1.933 1.809
Ge 2.650 -1.068 -2.067
Ge 5.883 -3.468 0.179
Ge 0.436 -3.273 -1.237
Ge 3.670 -5.674 1.009
Li 0.000 0.000 0.000